1.
# La2YAu, optimized geometry, DFT PBE-GGA
# Crystal system: trigonal
# E_tot, eV/atom: -5.167
# DFT formation energy, eV/atom: -0.268
data_La2YAu
_symmetry_space_group_name_H-M 'R -3 m'
_symmetry_Int_Tables_number 166
_symmetry_space_group_name_Hall '-R 3 2"'
_cell_length_a 3.8440
_cell_length_b 3.8440
_cell_length_c 30.6828
_cell_angle_alpha 90.00
_cell_angle_beta 90.00
_cell_angle_gamma 120.00
loop_
_atom_site_label
_atom_site_type_symbol
_atom_site_fract_x
_atom_site_fract_y
_atom_site_fract_z
La1 La 0.0000 0.0000 0.2380
Y1 Y 0.0000 0.0000 0.0000
Au1 Au 0.0000 0.0000 0.5000


2.
# La2YAu6, optimized geometry, DFT PBE-GGA
# Crystal system: trigonal
# E_tot, eV/atom: -4.675
# DFT formation energy, eV/atom: -0.676
data_La2YAu6
_symmetry_space_group_name_H-M 'P -3 m 1'
_symmetry_Int_Tables_number 164
_symmetry_space_group_name_Hall '-P 3 2"'
_cell_length_a 6.7562
_cell_length_b 6.7562
_cell_length_c 5.5634
_cell_angle_alpha 90.00
_cell_angle_beta 90.00
_cell_angle_gamma 120.00
loop_
_atom_site_label
_atom_site_type_symbol
_atom_site_fract_x
_atom_site_fract_y
_atom_site_fract_z
La1 La 0.3333 0.6667 0.3306
Y1 Y 0.0000 0.0000 0.5000
Au1 Au 0.1890 0.3780 0.8226


3.
# LaY2Au, optimized geometry, DFT PBE-GGA
# Crystal system: tetragonal
# E_tot, eV/atom: -5.654
# DFT formation energy, eV/atom: -0.371
data_LaY2Au
_symmetry_space_group_name_H-M 'P 4 m m'
_symmetry_Int_Tables_number 99
_cell_length_a 3.687
_cell_length_b 3.687
_cell_length_c 8.769
_cell_angle_alpha 90.00
_cell_angle_beta 90.00
_cell_angle_gamma 90.00
loop_
_symmetry_equiv_pos_as_xyz
'x,y,z'
'-y,x,z'
'-x,-y,z'
'y,-x,z'
'-x,y,z'
'y,x,z'
'x,-y,z'
'-y,-x,z'
loop_
_atom_site_label
_atom_site_type_symbol
_atom_site_fract_x
_atom_site_fract_y
_atom_site_fract_z
La1 La 0.000 0.000 0.000
Y1 Y 0.000 0.000 0.584
Y2 Y 0.500 0.500 0.299
Au1 Au 0.500 0.500 0.765


Q: Among the records above, which one has the highest DFT formation energy?
A: La2YAu